# SrPdO PBE-GGA relaxed
# * DOS(E_F): 0.000 states/eV/atom
# * electronic total energy: -32.52 eV per cell
data_SrPdO
_chemical_formula_sum 'Sr2 Pd2 O2'
_cell_length_a 4.9661
_cell_length_b 3.5983
_cell_length_c 6.5772
_cell_angle_alpha 90.00
_cell_angle_beta 111.97
_cell_angle_gamma 90.00
_symmetry_space_group_name_H-M 'P 1 21/m 1'
_symmetry_Int_Tables_number 11
_symmetry_space_group_name_Hall '-P 2yb'
loop_
_atom_site_label
_atom_site_type_symbol
_atom_site_fract_x
_atom_site_fract_y
_atom_site_fract_z
_atom_site_occupancy
Sr1 Sr 0.1640 0.2500 0.3266 1
Pd1 Pd 0.4241 0.2500 0.8496 1
O1 O 0.3033 0.7500 0.6078 1


# Sr2TaPdO6 PBE-GGA relaxed
# * DOS(E_F): 0.186 states/eV/atom
# * electronic total energy: -146.22 eV per cell
data_Sr2TaPdO6
_chemical_formula_sum 'Sr4 Ta2 Pd2 O12'
_cell_length_a 5.7113
_cell_length_b 5.7113
_cell_length_c 8.2317
_cell_angle_alpha 90.00
_cell_angle_beta 90.00
_cell_angle_gamma 90.00
_symmetry_space_group_name_H-M 'I 4/m m m'
_symmetry_Int_Tables_number 139
_symmetry_space_group_name_Hall '-I 4 2'
loop_
_atom_site_label
_atom_site_type_symbol
_atom_site_fract_x
_atom_site_fract_y
_atom_site_fract_z
_atom_site_occupancy
Sr1 Sr 0.0000 0.5000 0.2500 1
Ta1 Ta 0.0000 0.0000 0.0000 1
Pd1 Pd 0.0000 0.0000 0.5000 1
O1 O 0.0000 0.0000 0.2406 1
O2 O 0.2450 0.2450 0.0000 1


# SrTb2PdO5 PBE-GGA relaxed
# * DOS(E_F): 0.000 states/eV/atom
# * electronic total energy: -129.75 eV per cell
data_SrTb2PdO5
_chemical_formula_sum 'Sr2 Tb4 Pd2 O10'
_cell_length_a 6.5407
_cell_length_b 6.5407
_cell_length_c 5.8635
_cell_angle_alpha 90.00
_cell_angle_beta 90.00
_cell_angle_gamma 90.00
_symmetry_space_group_name_H-M 'P 4/m b m'
_symmetry_Int_Tables_number 127
_symmetry_space_group_name_Hall '-P 4 2ab'
loop_
_atom_site_label
_atom_site_type_symbol
_atom_site_fract_x
_atom_site_fract_y
_atom_site_fract_z
_atom_site_occupancy
Sr1 Sr 0.0000 0.0000 0.0000 1
Tb1 Tb 0.1732 0.3268 0.5000 1
Pd1 Pd 0.0000 0.5000 0.0000 1
O1 O 0.0000 0.0000 0.5000 1
O2 O 0.1444 0.6444 0.2546 1


# SrTc2PdO8 PBE-GGA relaxed
# * electronic total energy: -84.89 eV per cell
data_SrTc2PdO8
_chemical_formula_sum 'Sr1 Tc2 Pd1 O8'
_cell_length_a 5.8885
_cell_length_b 5.8885
_cell_length_c 7.0038
_cell_angle_alpha 90.00
_cell_angle_beta 90.00
_cell_angle_gamma 120.00
_symmetry_space_group_name_H-M 'P -3 m 1'
_symmetry_Int_Tables_number 164
_symmetry_space_group_name_Hall '-P 3 2"'
loop_
_atom_site_label
_atom_site_type_symbol
_atom_site_fract_x
_atom_site_fract_y
_atom_site_fract_z
_atom_site_occupancy
Sr1 Sr 0.0000 0.0000 0.0000 1
Tc1 Tc 0.3333 0.6667 0.7927 1
Pd1 Pd 0.0000 0.0000 0.5000 1
O1 O 0.1662 0.3325 0.7193 1
O2 O 0.3333 0.6667 0.0424 1


# Sr2TiPdO5 PBE-GGA relaxed
# * DOS(E_F): 0.342 states/eV/atom
# * electronic total energy: -246.62 eV per cell
data_Sr2TiPdO5
_chemical_formula_sum 'Sr8 Ti4 Pd4 O20'
_cell_length_a 3.4193
_cell_length_b 15.0166
_cell_length_c 9.7573
_cell_angle_alpha 90.00
_cell_angle_beta 90.00
_cell_angle_gamma 90.00
_symmetry_space_group_name_H-M 'C m c 21'
_symmetry_Int_Tables_number 36
_symmetry_space_group_name_Hall 'C 2c -2'
loop_
_atom_site_label
_atom_site_type_symbol
_atom_site_fract_x
_atom_site_fract_y
_atom_site_fract_z
_atom_site_occupancy
Sr1 Sr 0.0000 0.1132 0.0000 1
Sr2 Sr 0.0000 0.1284 0.3597 1
Ti1 Ti 0.0000 0.4294 0.1613 1
Pd1 Pd 0.0000 0.2097 0.6872 1
O1 O 0.0000 0.0267 0.7293 1
O2 O 0.0000 0.3108 0.0574 1
O3 O 0.0000 0.3192 0.3164 1
O4 O 0.0000 0.3599 0.6823 1
O5 O 0.0000 0.4805 0.9932 1


# SrTi2PdO6 PBE-GGA relaxed
# * electronic total energy: -307.54 eV per cell
data_SrTi2PdO6
_chemical_formula_sum 'Sr4 Ti8 Pd4 O24'
_cell_length_a 12.9388
_cell_length_b 7.8576
_cell_length_c 6.6250
_cell_angle_alpha 90.00
_cell_angle_beta 119.84
_cell_angle_gamma 90.00
_symmetry_space_group_name_H-M 'C 1 2/c 1'
_symmetry_Int_Tables_number 15
_symmetry_space_group_name_Hall '-C 2yc'
loop_
_atom_site_label
_atom_site_type_symbol
_atom_site_fract_x
_atom_site_fract_y
_atom_site_fract_z
_atom_site_occupancy
Sr1 Sr 0.0000 0.2476 0.2500 1
Ti1 Ti 0.2262 0.0921 0.7635 1
Pd1 Pd 0.0000 0.3100 0.7500 1
O1 O 0.1238 0.3302 0.0885 1
O2 O 0.1370 0.2884 0.6822 1
O3 O 0.1791 0.0307 0.4483 1


# SrTlPdO4 PBE-GGA relaxed
# * DOS(E_F): 0.325 states/eV/atom
# * electronic total energy: -148.35 eV per cell
data_SrTlPdO4
_chemical_formula_sum 'Sr4 Tl4 Pd4 O16'
_cell_length_a 7.2042
_cell_length_b 7.4234
_cell_length_c 8.0519
_cell_angle_alpha 90.00
_cell_angle_beta 90.00
_cell_angle_gamma 90.00
_symmetry_space_group_name_H-M 'I m m a'
_symmetry_Int_Tables_number 74
_symmetry_space_group_name_Hall '-I 2b 2'
loop_
_atom_site_label
_atom_site_type_symbol
_atom_site_fract_x
_atom_site_fract_y
_atom_site_fract_z
_atom_site_occupancy
Sr1 Sr 0.0000 0.2500 0.1581 1
Tl1 Tl 0.2500 0.2500 0.7500 1
Pd1 Pd 0.0000 0.0000 0.5000 1
O1 O 0.0000 0.0533 0.7477 1
O2 O 0.1805 0.2500 0.4703 1


# Sr2TmPdO5 PBE-GGA relaxed
# * DOS(E_F): 0.830 states/eV/atom
# * electronic total energy: -111.20 eV per cell
data_Sr2TmPdO5
_chemical_formula_sum 'Sr4 Tm2 Pd2 O10'
_cell_length_a 6.4621
_cell_length_b 6.4621
_cell_length_c 6.0950
_cell_angle_alpha 90.00
_cell_angle_beta 90.00
_cell_angle_gamma 90.00
_symmetry_space_group_name_H-M 'P 4/m b m'
_symmetry_Int_Tables_number 127
_symmetry_space_group_name_Hall '-P 4 2ab'
loop_
_atom_site_label
_atom_site_type_symbol
_atom_site_fract_x
_atom_site_fract_y
_atom_site_fract_z
_atom_site_occupancy
Sr1 Sr 0.1631 0.3369 0.0000 1
Tm1 Tm 0.0000 0.0000 0.5000 1
Pd1 Pd 0.0000 0.5000 0.5000 1
O1 O 0.0000 0.0000 0.0000 1
O2 O 0.1649 0.6649 0.2898 1


# SrTm2PdO5 PBE-GGA relaxed
# * electronic total energy: -252.27 eV per cell
data_SrTm2PdO5
_chemical_formula_sum 'Sr4 Tm8 Pd4 O20'
_cell_length_a 6.3963
_cell_length_b 6.3963
_cell_length_c 12.0802
_cell_angle_alpha 90.00
_cell_angle_beta 90.00
_cell_angle_gamma 90.00
_symmetry_space_group_name_H-M 'I 4/m c m'
_symmetry_Int_Tables_number 140
_symmetry_space_group_name_Hall '-I 4 2c'
loop_
_atom_site_label
_atom_site_type_symbol
_atom_site_fract_x
_atom_site_fract_y
_atom_site_fract_z
_atom_site_occupancy
Sr1 Sr 0.0000 0.0000 0.2500 1
Tm1 Tm 0.1717 0.3283 0.0000 1
Pd1 Pd 0.0000 0.5000 0.2500 1
O1 O 0.0000 0.0000 0.0000 1
O2 O 0.1440 0.3560 0.3841 1


# Sr2UPdO6 PBE-GGA relaxed
# * electronic total energy: -150.70 eV per cell
data_Sr2UPdO6
_chemical_formula_sum 'Sr4 U2 Pd2 O12'
_cell_length_a 11.3471
_cell_length_b 5.6828
_cell_length_c 5.3773
_cell_angle_alpha 90.00
_cell_angle_beta 115.17
_cell_angle_gamma 90.00
_symmetry_space_group_name_H-M 'C 1 2/m 1'
_symmetry_Int_Tables_number 12
_symmetry_space_group_name_Hall '-C 2y'
loop_
_atom_site_label
_atom_site_type_symbol
_atom_site_fract_x
_atom_site_fract_y
_atom_site_fract_z
_atom_site_occupancy
Sr1 Sr 0.2401 0.0000 0.2081 1
U1 U 0.0000 0.5000 0.0000 1
Pd1 Pd 0.0000 0.0000 0.5000 1
O1 O 0.0747 0.2428 0.8093 1
O2 O 0.1813 0.5000 0.2936 1